[1]
Here is an optimized crystal structure of Zn4Ni from the Alexandria database. Energies are from PBEsol.

abc: 4.5499 4.5499 4.5499
angles: 99.33 99.33 132.51
Closest atoms and distances in Å follow each position.
Sites, in units of the cell vectors:
Zn: 0.1027 0.2930 0.3957  9 Zn 2.57-2.72, 3 Ni 2.59-2.64
Zn: 0.2930 0.8973 0.1903  9 Zn 2.57-2.72, 3 Ni 2.59-2.64
Zn: 0.7070 0.1027 0.8097  9 Zn 2.57-2.72, 3 Ni 2.59-2.64
Zn: 0.8973 0.7070 0.6043  9 Zn 2.57-2.72, 3 Ni 2.59-2.64
Ni: 0.5000 0.5000 0.0000  12 Zn 2.59-2.64

Summary:
- DFT formation energy: -0.1465 eV/atom
- Symmetry: I4/m (87)
- Volume: 64 Å³/f.u.

***

[2]
Here is an optimized crystal structure of Cu2GeS3 from the Alexandria database. Energies are from PBEsol.

abc: 6.4057 6.4057 6.4062
angles: 99.43 99.43 120.32
Closest atoms and distances in Å follow each position.
Sites, in units of the cell vectors:
Cu: 0.0841 0.9159 0.5000  4 S 2.25-2.27
Cu: 0.2476 0.7417 0.9994  4 S 2.25-2.26
Cu: 0.7417 0.2476 0.4994  4 S 2.25-2.26
Cu: 0.9159 0.0841 0.0000  4 S 2.25-2.27
Ge: 0.3914 0.5675 0.4799  4 S 2.22-2.35
Ge: 0.5675 0.3914 0.9799  4 S 2.22-2.35
S: 0.0261 0.1961 0.3733  1 Ge 2.22, 3 Cu 2.25-2.26
S: 0.1961 0.0261 0.8733  1 Ge 2.22, 3 Cu 2.25-2.26
S: 0.3697 0.8691 0.3711  1 Ge 2.22, 3 Cu 2.25-2.26
S: 0.5386 0.7060 0.8682  2 Cu 2.26-2.27, 2 Ge 2.33-2.35
S: 0.7060 0.5386 0.3682  2 Cu 2.26-2.27, 2 Ge 2.33-2.35
S: 0.8691 0.3697 0.8711  1 Ge 2.22, 3 Cu 2.25-2.26

Summary:
- Symmetry: Cc (9)
- Volume: 107 Å³/f.u.
- Formation energy (no corrections): -0.356 eV per atom

***

[3]
Here is an optimized crystal structure of MgTcIr2 from the Alexandria database. Energies are from PBEsol.

abc: 4.3398 4.3398 4.3398
angles: 60.00 60.00 60.00
Closest atoms and distances in Å follow each position.
Sites, in units of the cell vectors:
Mg: 0.0000 0.0000 0.0000  4 Tc 2.66, 4 Ir 2.66
Tc: 0.7500 0.7500 0.7500  4 Mg 2.66, 4 Ir 2.66
Ir: 0.2500 0.2500 0.2500  4 Mg 2.66, 4 Ir 2.66
Ir: 0.5000 0.5000 0.5000  4 Tc 2.66, 4 Ir 2.66

Summary:
- DFT formation energy: 0.1877 eV/atom
- Symmetry: F-43m (216)
- Volume: 58 Å³/f.u.

***

[4]
Here is an optimized crystal structure of CuHgSBr from the Alexandria database. Energies are from PBEsol.

abc: 9.8665 4.0224 9.4153
angles: 90.00 90.00 90.00
Closest atoms and distances in Å follow each position.
Sites, in units of the cell vectors:
Cu: 0.0841 0.0000 0.2133  2 S 2.22, 1 Br 2.43
Cu: 0.4159 0.0000 0.2133  2 S 2.22, 1 Br 2.43
Cu: 0.5841 0.0000 0.7867  2 S 2.22, 1 Br 2.43
Cu: 0.9159 0.0000 0.7867  2 S 2.22, 1 Br 2.43
Hg: 0.0000 0.5000 0.5000  2 S 2.40
Hg: 0.2500 0.5000 0.7847  2 S 2.41
Hg: 0.5000 0.5000 0.5000  2 S 2.40
Hg: 0.7500 0.5000 0.2153  2 S 2.41
S: 0.0074 0.5000 0.7551  2 Cu 2.22, 2 Hg 2.40-2.41
S: 0.4926 0.5000 0.7551  2 Cu 2.22, 2 Hg 2.40-2.41
S: 0.5074 0.5000 0.2449  2 Cu 2.22, 2 Hg 2.40-2.41
S: 0.9926 0.5000 0.2449  2 Cu 2.22, 2 Hg 2.40-2.41
Br: 0.2500 0.0000 0.0232  2 Cu 2.43
Br: 0.2500 0.0000 0.4386  2 Cu 2.68
Br: 0.7500 0.0000 0.5614  2 Cu 2.68
Br: 0.7500 0.0000 0.9768  2 Cu 2.43

Summary:
- Symmetry: Pmma (51)
- Volume: 93 Å³/f.u.
- Formation energy (no corrections): -0.272 eV per atom

***

[5]
Here is an optimized crystal structure of HfTa3Be from the Alexandria database. Energies are from PBEsol.

abc: 4.8064 4.8064 4.8064
angles: 90.00 90.00 90.00
Closest atoms and distances in Å follow each position.
Sites, in units of the cell vectors:
Hf: 0.0000 0.0000 0.0000  6 Ta 2.40
Ta: 0.0000 0.0000 0.5000  2 Hf 2.40
Ta: 0.0000 0.5000 0.0000  2 Hf 2.40
Ta: 0.5000 0.0000 0.0000  2 Hf 2.40
Be: 0.5000 0.5000 0.5000  12 Ta 3.40

Summary:
- DFT formation energy: 2.2882 eV/atom
- Symmetry: Pm-3m (221)
- Volume: 111 Å³/f.u.

***

[6]
Here is an optimized crystal structure of ScSi2Tc from the Alexandria database. Energies are from PBEsol.

abc: 4.3304 4.3304 4.3304
angles: 60.00 60.00 60.00
Closest atoms and distances in Å follow each position.
Sites, in units of the cell vectors:
Sc: 0.0000 0.0000 0.0000  4 Si 2.65, 4 Tc 2.65
Si: 0.5000 0.5000 0.5000  4 Tc 2.65, 4 Si 2.65
Si: 0.7500 0.7500 0.7500  4 Sc 2.65, 4 Si 2.65
Tc: 0.2500 0.2500 0.2500  4 Sc 2.65, 4 Si 2.65

Summary:
- Symmetry: F-43m (216)
- Volume: 57 Å³/f.u.
- Formation energy (no corrections): -0.137 eV per atom

***

[7]
Here is an optimized crystal structure of RbLaP2Cl from the Alexandria database. Energies are from PBEsol.

abc: 5.4341 5.4341 5.6559
angles: 90.00 90.00 90.00
Closest atoms and distances in Å follow each position.
Sites, in units of the cell vectors:
Rb: 0.0000 0.0000 0.0000  4 Cl 3.84, 8 P 3.92
La: 0.5000 0.5000 0.5000  4 P 2.72, 2 Cl 2.83
P: 0.0000 0.5000 0.5000  2 La 2.72
P: 0.5000 0.0000 0.5000  2 La 2.72
Cl: 0.5000 0.5000 0.0000  2 La 2.83

Summary:
- Symmetry: P4/mmm (123)
- Volume: 167 Å³/f.u.
- Formation energy (no corrections): -0.498 eV per atom

***

[8]
Here is an optimized crystal structure of Sr3HfIr from the Alexandria database. Energies are from PBEsol.

abc: 5.6549 5.6549 5.6549
angles: 90.00 90.00 90.00
Closest atoms and distances in Å follow each position.
Sites, in units of the cell vectors:
Sr: 0.0000 0.0000 0.5000  2 Ir 2.83
Sr: 0.0000 0.5000 0.0000  2 Ir 2.83
Sr: 0.5000 0.0000 0.0000  2 Ir 2.83
Hf: 0.5000 0.5000 0.5000  12 Sr 4.00
Ir: 0.0000 0.0000 0.0000  6 Sr 2.83

Summary:
- DFT formation energy: 0.7027 eV/atom
- Symmetry: Pm-3m (221)
- Volume: 181 Å³/f.u.

***

[9]
Here is an optimized crystal structure of SbS2NF6 from the Alexandria database. Energies are from PBEsol.

abc: 5.7719 5.7719 5.3833
angles: 91.43 91.43 68.83
Closest atoms and distances in Å follow each position.
Sites, in units of the cell vectors:
Sb: 0.0000 0.0000 0.0000  6 F 1.91
S: 0.3571 0.3571 0.3793  1 N 1.49
S: 0.6429 0.6429 0.6207  1 N 1.49
N: 0.5000 0.5000 0.5000  2 S 1.49
F: 0.0877 0.6759 0.8521  1 Sb 1.91
F: 0.1128 0.1128 0.7133  1 Sb 1.91
F: 0.3241 0.9123 0.1479  1 Sb 1.91
F: 0.6759 0.0877 0.8521  1 Sb 1.91
F: 0.8872 0.8872 0.2867  1 Sb 1.91
F: 0.9123 0.3241 0.1479  1 Sb 1.91

Summary:
- Symmetry: C2/m (12)
- Volume: 167 Å³/f.u.
- Formation energy (no corrections): -1.546 eV per atom

***

[10]
Here is an optimized crystal structure of CdCu2Au from the Alexandria database. Energies are from PBEsol.

abc: 2.8556 4.1177 5.2190
angles: 90.00 105.35 90.00
Closest atoms and distances in Å follow each position.
Sites, in units of the cell vectors:
Cd: 0.0000 0.0000 0.0000  7 Cu 2.67-2.78, 2 Cd 2.86
Cu: 0.5996 0.5000 0.2098  2 Cu 2.44, 2 Au 2.71, 4 Cd 2.72
Cu: 0.7362 0.0000 0.4700  2 Cu 2.44, 1 Cd 2.67, 4 Au 2.70
Au: 0.3318 0.5000 0.6711  7 Cu 2.70-2.74, 2 Au 2.86, 4 Cd 2.99-3.02

Summary:
- DFT formation energy: -0.0098 eV/atom
- Symmetry: Pm (6)
- Volume: 59 Å³/f.u.

***

[11]
Here is an optimized crystal structure of Ga9Rh2 from the Alexandria database. Energies are from PBEsol.

abc: 6.3574 6.3735 8.7112
angles: 90.00 93.34 90.00
Closest atoms and distances in Å follow each position.
Sites, in units of the cell vectors:
Ga: 0.0000 0.0000 0.0000  2 Rh 2.43
Ga: 0.0000 0.5000 0.5000  2 Rh 2.43
Ga: 0.1008 0.2145 0.7266  2 Rh 2.54-2.55, 3 Ga 2.69-2.73
Ga: 0.1008 0.2855 0.2266  2 Rh 2.54-2.55, 3 Ga 2.69-2.73
Ga: 0.2054 0.6029 0.0405  2 Rh 2.54-2.55, 2 Ga 2.70-2.78
Ga: 0.2054 0.8971 0.5405  2 Rh 2.54-2.55, 2 Ga 2.70-2.78
Ga: 0.3942 0.1984 0.9946  2 Rh 2.63, 8 Ga 2.75-2.90
Ga: 0.3942 0.3016 0.4946  2 Rh 2.63, 8 Ga 2.75-2.90
Ga: 0.3978 0.5123 0.7702  2 Rh 2.52-2.54, 4 Ga 2.69-2.80
Ga: 0.3978 0.9877 0.2702  2 Rh 2.52-2.54, 4 Ga 2.69-2.80
Ga: 0.6022 0.0123 0.7298  2 Rh 2.52-2.54, 4 Ga 2.69-2.80
Ga: 0.6022 0.4877 0.2298  2 Rh 2.52-2.54, 4 Ga 2.69-2.80
Ga: 0.6058 0.6984 0.5054  2 Rh 2.63, 8 Ga 2.75-2.90
Ga: 0.6058 0.8016 0.0054  2 Rh 2.63, 8 Ga 2.75-2.90
Ga: 0.7946 0.1029 0.4595  2 Rh 2.54-2.55, 2 Ga 2.70-2.78
Ga: 0.7946 0.3971 0.9595  2 Rh 2.54-2.55, 2 Ga 2.70-2.78
Ga: 0.8992 0.7145 0.7734  2 Rh 2.54-2.55, 3 Ga 2.69-2.73
Ga: 0.8992 0.7855 0.2734  2 Rh 2.54-2.55, 3 Ga 2.69-2.73
Rh: 0.2617 0.6272 0.3308  9 Ga 2.43-2.63
Rh: 0.2617 0.8728 0.8308  9 Ga 2.43-2.63
Rh: 0.7383 0.1272 0.1692  9 Ga 2.43-2.63
Rh: 0.7383 0.3728 0.6692  9 Ga 2.43-2.63

Summary:
- DFT formation energy: -0.3725 eV/atom
- Symmetry: P2_1/c (14)
- Volume: 176 Å³/f.u.

***

> What is the formula in the second record?

Cu2GeS3